# CsLiMnF6

CsLiMnF6 after structural relaxation (GGA+U, the Alexandria database).

Cell and atoms, written as CIF:
```
data_CsLiMnF6
_chemical_formula_sum 'Cs2 Li2 Mn2 F12'
_symmetry_space_group_name_H-M 'C 1 2 1'
_symmetry_Int_Tables_number 5
_cell_length_a 5.266
_cell_length_b 9.140
_cell_length_c 6.514
_cell_angle_alpha 90.00
_cell_angle_beta 90.08
_cell_angle_gamma 90.00
loop_
_symmetry_equiv_pos_as_xyz
'x,y,z'
'-x,y,-z'
'x+1/2,y+1/2,z'
'-x+1/2,y+1/2,-z'
loop_
_atom_site_label
_atom_site_fract_x
_atom_site_fract_y
_atom_site_fract_z
Cs1 0.000 0.000 0.000
Li1 0.000 0.334 0.500
Mn1 0.000 0.667 0.500
F1 0.122 0.517 0.337
F2 0.164 0.803 0.337
F3 0.213 0.181 0.337
```

Density: 3270 kg/m³
Electronic total energy: -4.985 eV/atom